Compound: K3Zn2S4
Source: the Alexandria database
Functional: GGA-PBE
Structure: relaxed

abc: 4.101 7.586 8.550
angles: 114.95 103.88 90.00
Sites, in units of the cell vectors:
K1 0.000 0.000 0.000
Zn1 0.329 0.045 0.657
K2 0.129 0.543 0.258
Zn2 0.671 0.955 0.343
S1 0.475 0.285 0.949
S2 0.788 0.844 0.576
S3 0.212 0.156 0.424
K3 0.871 0.457 0.742
S4 0.525 0.715 0.051

Results
Raw total energy   -30.30 eV per cell
DOS(E_F)   1.0 states/eV/f.u.
Mass density   2.69 g/cm3
Crystal system   monoclinic
Total moment   1.03 μB/f.u.